No. 1
The following is a DFT calculation (GGA-PBE) of an optimized crystal structure of La2YMo.

abc: 6.488 6.488 5.634
angles: 64.30 64.30 33.30
Sites, in units of the cell vectors:
Mo  0.487  0.487  0.511
La  0.803  0.803  0.697
La  0.004  0.004  0.997
Y  0.206  0.206  0.295

Calculated values
E above lowest polymorph	0.0311	eV per atom
energy relative to the elements	0.327	eV/atom
calculated volume	116.1	Å³/cell
magnetic moment	0.0	μB/f.u.
N(E_F)	1.328	states/eV/atom

=====

No. 2
The following is a DFT calculation (GGA-PBE) of an optimized crystal structure of CsHI3.

abc: 5.585 5.585 5.585
angles: 90.00 90.00 90.00
Last column: magnetic moment on the atom in μB.
Sites, in units of the cell vectors:
I  0.500  0.000  0.000  0.26
I  0.000  0.000  0.500  0.15
I  0.000  0.500  0.000  0.31
Cs  0.500  0.500  0.500  0.00
H  0.000  0.000  0.000  -0.03

Calculated values
E above lowest polymorph	0.5430	eV per atom
calculated volume	174.2	Å³/cell
magnetic moment	1.0	μB/f.u.
N(E_F)	1.210	states/eV/atom

=====

No. 3
The following is a DFT calculation (GGA-PBE) of an optimized crystal structure of Sc2Ti2N3.

abc: 3.140 5.514 5.312
angles: 104.46 90.00 106.55
Sites, in units of the cell vectors:
Ti  0.857  0.714  0.650
Ti  0.143  0.286  0.350
Sc  0.619  0.238  0.859
Sc  0.381  0.762  0.141
N  0.248  0.496  0.742
N  0.752  0.504  0.258
N  0.000  0.000  0.000

Calculated values
formation energy from raw total energies	-1.641	eV per atom
calculated volume	85.1	Å³/cell
magnetic moment	0.0	μB/f.u.
N(E_F)	0.423	states/eV/atom

=====

No. 4
The following is a DFT calculation (GGA-PBE) of an optimized crystal structure of Cs3CaF4.

abc: 6.992 6.992 6.992
angles: 109.47 109.47 109.47
Sites, in units of the cell vectors:
Ca  0.000  0.000  0.000
F  0.000  0.689  0.000
F  0.000  0.000  0.689
F  0.689  0.000  0.000
F  0.311  0.311  0.311
Cs  0.000  0.500  0.500
Cs  0.500  0.000  0.500
Cs  0.500  0.500  0.000

Calculated values
formation energy from raw total energies	-2.550	eV per atom
calculated volume	263.2	Å³/cell
magnetic moment	0.0	μB/f.u.
N(E_F)	0.256	states/eV/atom

=====

No. 5
The following is a DFT calculation (GGA-PBE) of an optimized crystal structure of Er3Tm5Tl2.

abc: 6.478 11.376 11.377
angles: 85.16 58.22 58.22
Sites, in units of the cell vectors:
Tm  0.250  0.533  0.467
Tm  0.859  0.470  0.786
Tm  0.141  0.530  0.214
Tm  0.642  0.214  0.530
Tm  0.033  0.697  0.789
Tm  0.967  0.303  0.211
Tm  0.358  0.786  0.470
Tm  0.467  0.211  0.303
Tm  0.750  0.467  0.533
Tm  0.533  0.789  0.697
Er  0.859  0.877  0.361
Er  0.141  0.123  0.639
Er  0.359  0.361  0.877
Er  0.750  0.036  0.964
Er  0.641  0.639  0.123
Er  0.250  0.964  0.036
Tl  0.648  0.016  0.730
Tl  0.851  0.270  0.984
Tl  0.352  0.984  0.270
Tl  0.149  0.730  0.016

Calculated values
energy relative to the elements	-0.086	eV/atom
calculated volume	583.9	Å³/cell
magnetic moment	0.0	μB/f.u.
N(E_F)	1.255	states/eV/atom

=====

No. 6
The following is a DFT calculation (GGA-PBE) of an optimized crystal structure of AcCePrAl.

abc: 5.596 5.596 5.596
angles: 60.00 60.00 60.00
Last column: magnetic moment on the atom in μB.
Sites, in units of the cell vectors:
Ce  0.750  0.750  0.750  0.69
Al  0.000  0.000  0.000  -0.01
Ac  0.500  0.500  0.500  0.08
Pr  0.250  0.250  0.250  0.07

Calculated values
energy relative to the elements	0.094	eV/atom
calculated volume	123.9	Å³/cell
magnetic moment	1.1	μB/f.u.
N(E_F)	2.532	states/eV/atom

=====

No. 7
The following is a DFT calculation (GGA-PBE) of an optimized crystal structure of CeTi2Sb.

abc: 3.880 4.563 4.563
angles: 90.00 90.00 90.00
Sites, in units of the cell vectors:
Ti  0.000  0.000  0.500
Ti  0.000  0.500  0.000
Sb  0.500  0.500  0.500
Ce  0.500  0.000  0.000

Calculated values
formation energy from raw total energies	-0.302	eV per atom
calculated volume	80.8	Å³/cell
magnetic moment	0.0	μB/f.u.
N(E_F)	1.493	states/eV/atom

=====

No. 8
The following is a DFT calculation (GGA-PBE) of an optimized crystal structure of Ce2HoIn.

abc: 5.157 4.621 4.621
angles: 90.00 90.00 90.00
Last column: magnetic moment on the atom in μB.
Sites, in units of the cell vectors:
In  0.500  0.500  0.500  -0.02
Ho  0.500  0.000  0.000  0.08
Ce  0.000  0.000  0.500  0.66
Ce  0.000  0.500  0.000  0.66

Calculated values
E above lowest polymorph	0.0337	eV per atom
energy relative to the elements	-0.212	eV/atom
calculated volume	110.1	Å³/cell
magnetic moment	1.7	μB/f.u.
N(E_F)	2.410	states/eV/atom

=====

No. 9
The following is a DFT calculation (GGA-PBE) of an optimized crystal structure of La3ThCd.

abc: 3.719 9.242 10.248
angles: 88.96 90.00 101.61
Sites, in units of the cell vectors:
Th  0.412  0.825  0.437
Th  0.588  0.175  0.563
La  0.252  0.504  0.655
La  0.942  0.885  0.738
La  0.748  0.496  0.345
La  0.595  0.189  0.911
La  0.405  0.811  0.089
La  0.058  0.115  0.262
Cd  0.211  0.422  0.086
Cd  0.789  0.578  0.914

Calculated values
energy relative to the elements	0.003	eV/atom
calculated volume	345.0	Å³/cell
magnetic moment	0.0	μB/f.u.
N(E_F)	1.464	states/eV/atom

=====

No. 10
The following is a DFT calculation (GGA-PBE) of an optimized crystal structure of MgCu2Cl.

abc: 5.357 5.357 5.357
angles: 138.84 138.84 59.62
Sites, in units of the cell vectors:
Cu  0.000  0.000  0.000
Cu  0.250  0.750  0.500
Cl  0.750  0.250  0.500
Mg  0.500  0.500  0.000

Calculated values
formation energy from raw total energies	0.136	eV per atom
E above lowest polymorph	0.4012	eV per atom
calculated volume	65.9	Å³/cell
magnetic moment	0.0	μB/f.u.
N(E_F)	0.359	states/eV/atom

=====

No. 11
The following is a DFT calculation (GGA-PBE) of an optimized crystal structure of KEr2B2S6.

abc: 6.799 7.197 6.335
angles: 111.85 83.15 69.45
Sites, in units of the cell vectors:
S  0.150  0.484  0.738
S  0.114  0.901  0.652
S  0.886  0.099  0.348
S  0.448  0.731  0.924
S  0.552  0.269  0.076
S  0.850  0.516  0.262
B  0.237  0.706  0.769
B  0.763  0.294  0.231
Er  0.819  0.363  0.814
Er  0.181  0.637  0.186
K  0.500  0.000  0.500

Calculated values
formation energy from raw total energies	-1.110	eV per atom
calculated volume	258.0	Å³/cell
magnetic moment	0.0	μB/f.u.
N(E_F)	0.323	states/eV/atom

=====

No. 12
The following is a DFT calculation (GGA-PBE) of an optimized crystal structure of Rb3In2Br9.

abc: 7.771 7.771 19.919
angles: 90.00 90.00 120.00
Sites, in units of the cell vectors:
Rb  0.333  0.667  0.438
Rb  0.333  0.667  0.062
Rb  0.667  0.333  0.938
Rb  0.667  0.333  0.562
Rb  0.000  0.000  0.750
Rb  0.000  0.000  0.250
In  0.667  0.333  0.156
In  0.667  0.333  0.344
In  0.333  0.667  0.656
In  0.333  0.667  0.844
Br  0.491  0.509  0.750
Br  0.166  0.332  0.588
Br  0.509  0.018  0.250
Br  0.166  0.834  0.588
Br  0.166  0.834  0.912
Br  0.668  0.834  0.912
Br  0.668  0.834  0.588
Br  0.509  0.491  0.250
Br  0.332  0.166  0.088
Br  0.332  0.166  0.412
Br  0.834  0.668  0.088
Br  0.834  0.166  0.088
Br  0.982  0.491  0.250
Br  0.166  0.332  0.912
Br  0.834  0.166  0.412
Br  0.834  0.668  0.412
Br  0.491  0.982  0.750
Br  0.018  0.509  0.750

Calculated values
formation energy from raw total energies	-1.246	eV per atom
calculated volume	1041.8	Å³/cell
magnetic moment	0.0	μB/f.u.
N(E_F)	0.000	states/eV/atom